Material: YPW4
Method: DFT, PBE
State: optimized geometry

POSCAR file:
```
YPW4
1.0
0.000 3.821 3.821
3.821 0.000 3.821
3.821 3.821 0.000
Y P W
1 1 4
Direct
0.000 0.000 0.000 Y
0.750 0.750 0.750 P
0.375 0.375 0.375 W
0.375 0.375 0.874 W
0.375 0.874 0.375 W
0.874 0.375 0.375 W
```

Computed properties:
- Energy of formation: 3.46 eV per formula unit
- SG: F-43m (216)

---

Material: Pm4ZnSCl2
Method: DFT, PBE
State: optimized geometry

POSCAR file:
```
Pm4ZnSCl2
1.0
7.069 0.000 0.000
0.000 4.035 0.000
-2.409 0.000 7.037
Pm Zn S Cl
4 1 1 2
Direct
0.232 0.000 0.221 Pm
0.245 0.500 0.768 Pm
0.755 0.500 0.232 Pm
0.768 0.000 0.779 Pm
0.500 0.000 0.000 Zn
0.000 0.500 0.000 S
0.000 0.000 0.500 Cl
0.500 0.500 0.500 Cl
```

Computed properties:
- E_form (uncorrected): -1.272 eV per atom
- SG: P2/m (10)

---

Material: BeAlP2S
Method: DFT, PBE
State: optimized geometry

POSCAR file:
```
BeAlP2S
1.0
4.619 0.000 0.000
0.000 4.619 0.000
0.000 0.000 4.555
Be Al P S
1 1 2 1
Direct
0.000 0.000 0.000 Be
0.500 0.500 0.500 Al
0.000 0.500 0.500 P
0.500 0.000 0.500 P
0.500 0.500 0.000 S
```

Computed properties:
- E_form (uncorrected): 0.944 eV per atom
- SG: P4/mmm (123)
- Energy relative to the lowest polymorph listed for this composition: 394.3 meV/atom

---

Material: Tb3TlFe3
Method: DFT, PBE
State: optimized geometry

POSCAR file:
```
Tb3TlFe3
1.0
9.673 0.000 0.000
-4.836 8.377 0.000
0.000 0.000 3.939
Tb Tl Fe
6 2 6
Direct
0.071 0.685 0.250 Tb
0.315 0.386 0.250 Tb
0.386 0.071 0.750 Tb
0.614 0.929 0.250 Tb
0.685 0.614 0.750 Tb
0.929 0.315 0.750 Tb
0.333 0.667 0.750 Tl
0.667 0.333 0.250 Tl
0.020 0.866 0.750 Fe
0.134 0.153 0.750 Fe
0.153 0.020 0.250 Fe
0.847 0.980 0.750 Fe
0.866 0.847 0.250 Fe
0.980 0.134 0.250 Fe
```

Computed properties:
- Energy of formation: -0.50 eV per formula unit
- SG: P6_3/m (176)

---

Copy entry 2 word for word.
Material: Pm4ZnSCl2
Method: DFT, PBE
State: optimized geometry

POSCAR file:
```
Pm4ZnSCl2
1.0
7.069 0.000 0.000
0.000 4.035 0.000
-2.409 0.000 7.037
Pm Zn S Cl
4 1 1 2
Direct
0.232 0.000 0.221 Pm
0.245 0.500 0.768 Pm
0.755 0.500 0.232 Pm
0.768 0.000 0.779 Pm
0.500 0.000 0.000 Zn
0.000 0.500 0.000 S
0.000 0.000 0.500 Cl
0.500 0.500 0.500 Cl
```

Computed properties:
- E_form (uncorrected): -1.272 eV per atom
- SG: P2/m (10)